1.
The following is a PBE calculation of La5Ho7 after structural relaxation, from Alexandria via LeMat-Bulk.

```
La5Ho7
1.0
9.4273 -1.8199 0.0000
9.4273 1.8199 0.0000
-6.3252 0.0000 11.6938
La Ho
5 7
direct
0.0000 0.0000 0.0000
0.1647 0.1647 0.4966
0.3062 0.3062 0.2500
0.6938 0.6938 0.7500
0.8353 0.8353 0.5034
0.0265 0.0265 0.7510
0.3342 0.3342 0.0044
0.3627 0.3627 0.7524
0.5000 0.5000 0.5000
0.6373 0.6373 0.2476
0.6658 0.6658 0.9956
0.9735 0.9735 0.2490
```

Crystal system   monoclinic
D(E_F)   17.3 states/eV/f.u.
Space-group type   C2/m

=====

2.
The following is a PBE calculation of SrBeAu2 after structural relaxation, from Alexandria via LeMat-Bulk.

```
SrBeAu2
1.0
3.3094 0.0000 0.0000
0.0000 3.3094 0.0000
0.0000 0.0000 7.2406
Sr Be Au
1 1 2
direct
0.0000 0.0000 0.0000
0.0000 0.0000 0.5000
0.5000 0.5000 0.3121
0.5000 0.5000 0.6879
```

Crystal system   tetragonal
D(E_F)   1.9 states/eV/f.u.
Space-group type   P4/mmm

=====

3.
The following is a PBE calculation of ThScAl2Zn5 after structural relaxation, from Alexandria via LeMat-Bulk.

```
ThScAl2Zn5
1.0
4.3051 0.0000 0.0000
0.0000 4.3051 0.0000
0.0000 0.0000 9.5624
Th Sc Al Zn
1 1 2 5
direct
0.0000 0.0000 0.0000
0.0000 0.0000 0.5000
0.5000 0.5000 0.3720
0.5000 0.5000 0.6280
0.0000 0.5000 0.2336
0.0000 0.5000 0.7664
0.5000 0.0000 0.2336
0.5000 0.0000 0.7664
0.5000 0.5000 0.0000
```

Crystal system   tetragonal
D(E_F)   6.7 states/eV/f.u.
Space-group type   P4/mmm

=====

4.
The following is a PBE calculation of Rb2BeSnTe4 after structural relaxation, from Alexandria via LeMat-Bulk.

```
Rb2BeSnTe4
1.0
0.0000 7.6733 12.6188
3.3496 0.0000 12.6188
3.3496 7.6733 0.0000
Rb Be Sn Te
4 2 2 8
direct
0.0594 0.0594 0.6906
0.3094 0.3094 0.9406
0.6906 0.6906 0.0594
0.9406 0.9406 0.3094
0.3750 0.3750 0.3750
0.6250 0.6250 0.6250
0.1250 0.1250 0.1250
0.8750 0.8750 0.8750
0.0023 0.3648 0.4348
0.3019 0.5652 0.6352
0.3648 0.0023 0.6981
0.4348 0.6981 0.0023
0.5652 0.3019 0.9977
0.6352 0.9977 0.3019
0.6981 0.4348 0.3648
0.9977 0.6352 0.5652
```

Crystal system   orthorhombic
Space-group type   Fddd
ΔE_f (raw)   -0.572 eV per atom

=====

5.
The following is a PBE calculation of ZrScO2 after structural relaxation, from Alexandria via LeMat-Bulk.

```
ZrScO2
1.0
1.5479 0.8937 5.7873
-1.5479 0.8937 5.7873
0.0000 -1.7873 5.7873
Zr Sc O
1 1 2
direct
0.0000 0.0000 0.0000
0.1708 0.1708 0.1708
0.5809 0.5809 0.5809
0.7565 0.7565 0.7565
```

Crystal system   trigonal
D(E_F)   2.6 states/eV/f.u.
Space-group type   R3m
ΔE_f (raw)   -2.526 eV per atom

=====

6.
The following is a PBE calculation of Pr2Ho2In after structural relaxation, from Alexandria via LeMat-Bulk.

```
Pr2Ho2In
1.0
5.4953 0.0000 0.0000
-2.7477 4.7591 0.0000
0.0000 0.0000 12.2570
Pr Ho In
4 4 2
direct
0.3333 0.6667 0.0889
0.3333 0.6667 0.4111
0.6667 0.3333 0.5889
0.6667 0.3333 0.9111
0.0000 0.0000 0.0000
0.0000 0.0000 0.5000
0.3333 0.6667 0.7500
0.6667 0.3333 0.2500
0.0000 0.0000 0.2500
0.0000 0.0000 0.7500
```

E above lowest polymorph   0.0 meV/atom
Crystal system   hexagonal
D(E_F)   7.7 states/eV/f.u.
Space-group type   P6_3/mmc

=====

7.
The following is a PBE calculation of CoIrOs2 after structural relaxation, from Alexandria via LeMat-Bulk.

```
CoIrOs2
1.0
-1.3695 2.1948 4.5614
1.3695 -2.1948 4.5614
1.3695 2.1948 -4.5614
Co Ir Os
1 1 2
direct
0.0000 0.0000 0.0000
0.7737 0.2737 0.5000
0.2201 0.7201 0.5000
0.4926 0.4926 0.0000
```

E above lowest polymorph   298.8 meV/atom
Crystal system   orthorhombic
D(E_F)   5.0 states/eV/f.u.
Space-group type   Imm2

=====

8.
The following is a PBE calculation of Cd12In5Sn3 after structural relaxation, from Alexandria via LeMat-Bulk.

```
Cd12In5Sn3
1.0
-8.5243 8.5243 8.5243
8.5243 -8.5243 8.5243
8.5243 8.5243 -8.5243
Cd In Sn
48 20 12
direct
0.0658 0.2325 0.1373
0.0658 0.3333 0.9286
0.0714 0.6373 0.4047
0.0714 0.9342 0.6667
0.0953 0.7325 0.6667
0.0953 0.8627 0.4286
0.1373 0.0658 0.2325
0.1373 0.5714 0.9047
0.1667 0.2325 0.5953
0.1667 0.4342 0.5714
0.2325 0.1373 0.0658
0.2325 0.5953 0.1667
0.2675 0.3333 0.9047
0.2675 0.4342 0.3627
0.3333 0.9047 0.2675
0.3333 0.9286 0.0658
0.3627 0.2675 0.4342
0.3627 0.5953 0.9286
0.4047 0.0714 0.6373
0.4047 0.8333 0.7675
0.4286 0.0953 0.8627
0.4286 0.8333 0.5658
0.4342 0.3627 0.2675
0.4342 0.5714 0.1667
0.5658 0.4286 0.8333
0.5658 0.6373 0.7325
0.5714 0.1667 0.4342
0.5714 0.9047 0.1373
0.5953 0.1667 0.2325
0.5953 0.9286 0.3627
0.6373 0.4047 0.0714
0.6373 0.7325 0.5658
0.6667 0.0714 0.9342
0.6667 0.0953 0.7325
0.7325 0.5658 0.6373
0.7325 0.6667 0.0953
0.7675 0.4047 0.8333
0.7675 0.8627 0.9342
0.8333 0.5658 0.4286
0.8333 0.7675 0.4047
0.8627 0.4286 0.0953
0.8627 0.9342 0.7675
0.9047 0.1373 0.5714
0.9047 0.2675 0.3333
0.9286 0.0658 0.3333
0.9286 0.3627 0.5953
0.9342 0.6667 0.0714
0.9342 0.7675 0.8627
0.0000 0.0000 0.0000
0.0000 0.0000 0.5000
0.0000 0.5000 0.0000
0.0000 0.5000 0.5000
0.1250 0.7500 0.8750
0.1250 0.8750 0.2500
0.2500 0.1250 0.8750
0.2500 0.6250 0.3750
0.3750 0.2500 0.6250
0.3750 0.6250 0.7500
0.5000 0.0000 0.0000
0.5000 0.0000 0.5000
0.5000 0.5000 0.0000
0.5000 0.5000 0.5000
0.6250 0.3750 0.2500
0.6250 0.7500 0.3750
0.7500 0.3750 0.6250
0.7500 0.8750 0.1250
0.8750 0.1250 0.7500
0.8750 0.2500 0.1250
0.1250 0.2500 0.3750
0.1250 0.3750 0.7500
0.2500 0.3750 0.1250
0.2500 0.8750 0.6250
0.3750 0.1250 0.2500
0.3750 0.7500 0.1250
0.6250 0.2500 0.8750
0.6250 0.8750 0.7500
0.7500 0.1250 0.3750
0.7500 0.6250 0.8750
0.8750 0.6250 0.2500
0.8750 0.7500 0.6250
```

Crystal system   cubic
D(E_F)   9.7 states/eV/f.u.
Space-group type   Ia-3d

=====

9.
The following is a PBE calculation of Cu2WSe after structural relaxation, from Alexandria via LeMat-Bulk.

```
Cu2WSe
1.0
1.7017 -2.1191 0.0000
1.7017 2.1191 0.0000
0.0000 0.0000 8.6005
Cu W Se
2 1 1
direct
0.0000 0.0000 0.2335
0.0000 0.0000 0.7665
0.5000 0.5000 0.0000
0.5000 0.5000 0.5000
```

Crystal system   orthorhombic
D(E_F)   3.2 states/eV/f.u.
Space-group type   Cmmm
ΔE_f (raw)   0.397 eV per atom

=====

10.
The following is a PBE calculation of Mn2FeNi7Ge2 after structural relaxation, from Alexandria via LeMat-Bulk.

```
Mn2FeNi7Ge2
1.0
2.5330 -2.5613 0.0000
2.5330 2.5613 0.0000
0.0000 0.0000 11.2832
Mn Fe Ni Ge
2 1 7 2
direct
0.0000 0.0000 0.1759
0.0000 0.0000 0.8241
0.5000 0.5000 0.5000
0.0000 0.0000 0.5000
0.0000 0.5000 0.3450
0.0000 0.5000 0.6550
0.2681 0.7319 0.0000
0.5000 0.0000 0.3450
0.5000 0.0000 0.6550
0.7319 0.2681 0.0000
0.5000 0.5000 0.1940
0.5000 0.5000 0.8060
```

Crystal system   orthorhombic
D(E_F)   8.8 states/eV/f.u.
Space-group type   Cmmm

=====

11.
The following is a PBE calculation of Ti3NbRe after structural relaxation, from Alexandria via LeMat-Bulk.

```
Ti3NbRe
1.0
2.8088 1.6217 6.3227
-2.8088 1.6217 6.3227
0.0000 -3.2433 6.3227
Ti Nb Re
6 2 2
direct
0.1112 0.1112 0.6015
0.1112 0.6015 0.1112
0.3985 0.8888 0.8888
0.6015 0.1112 0.1112
0.8888 0.3985 0.8888
0.8888 0.8888 0.3985
0.4197 0.4197 0.4197
0.5803 0.5803 0.5803
0.1669 0.1669 0.1669
0.8331 0.8331 0.8331
```

E above lowest polymorph   391.7 meV/atom
Crystal system   trigonal
D(E_F)   6.1 states/eV/f.u.
Space-group type   R-3m

=====

12.
The following is a PBE calculation of PbBrCl2 after structural relaxation, from Alexandria via LeMat-Bulk.

```
PbBrCl2
1.0
2.1183 1.2230 10.8704
-2.1183 1.2230 10.8704
0.0000 -2.4460 10.8704
Pb Br Cl
1 1 2
direct
0.0000 0.0000 0.0000
0.5000 0.5000 0.5000
0.3821 0.3821 0.3821
0.6179 0.6179 0.6179
```

E above lowest polymorph   127.8 meV/atom
Crystal system   trigonal
D(E_F)   9.4 states/eV/f.u.
Space-group type   R-3m
ΔE_f (raw)   -0.554 eV per atom

=====

13.
The following is a PBE calculation of ScCd3Si after structural relaxation, from Alexandria via LeMat-Bulk.

```
ScCd3Si
1.0
5.4624 0.0000 0.0000
0.0000 5.4624 0.0000
0.0000 0.0000 5.4624
Sc Cd Si
1 3 1
direct
0.0000 0.0000 0.0000
0.0000 0.0000 0.5000
0.0000 0.5000 0.0000
0.5000 0.0000 0.0000
0.5000 0.5000 0.5000
```

E above lowest polymorph   586.6 meV/atom
Crystal system   cubic
D(E_F)   5.0 states/eV/f.u.
Space-group type   Pm-3m
ΔE_f (raw)   1.058 eV per atom

=====

14.
The following is a PBE calculation of Pr2NdSmDy2 after structural relaxation, from Alexandria via LeMat-Bulk.

```
Pr2NdSmDy2
1.0
6.6533 0.0000 0.0000
0.0000 18.3310 0.0000
0.0000 0.0000 3.4352
Pr Nd Sm Dy
4 2 2 4
direct
0.2213 0.1877 0.0000
0.2787 0.6877 0.5000
0.7213 0.3123 0.5000
0.7787 0.8123 0.0000
0.0000 0.0000 0.0000
0.5000 0.5000 0.5000
0.0000 0.5000 0.0000
0.5000 0.0000 0.5000
0.2189 0.3537 0.5000
0.2811 0.8537 0.0000
0.7189 0.1463 0.0000
0.7811 0.6463 0.5000
```

Crystal system   orthorhombic
D(E_F)   10.5 states/eV/f.u.
Space-group type   Pnnm

=====

15.
The following is a PBE calculation of HoSc2InO after structural relaxation, from Alexandria via LeMat-Bulk.

```
HoSc2InO
1.0
4.5025 0.0000 0.0000
0.0000 4.5025 0.0000
0.0000 0.0000 4.7024
Ho Sc In O
1 2 1 1
direct
0.0000 0.0000 0.0000
0.0000 0.5000 0.5000
0.5000 0.0000 0.5000
0.5000 0.5000 0.0000
0.0000 0.0000 0.5000
```

Crystal system   tetragonal
D(E_F)   2.7 states/eV/f.u.
Space-group type   P4/mmm
ΔE_f (raw)   -1.442 eV per atom

=====

16.
The following is a PBE calculation of Nd10In3Te3 after structural relaxation, from Alexandria via LeMat-Bulk.

```
Nd10In3Te3
1.0
9.3608 0.0000 0.0000
-4.6804 8.1066 0.0000
0.0000 0.0000 6.6183
Nd In Te
10 3 3
direct
0.0000 0.2425 0.0000
0.0000 0.7549 0.5000
0.2425 0.0000 0.0000
0.2451 0.2451 0.5000
0.3333 0.6667 0.2517
0.3333 0.6667 0.7483
0.6667 0.3333 0.2517
0.6667 0.3333 0.7483
0.7549 0.0000 0.5000
0.7575 0.7575 0.0000
0.0000 0.6080 0.0000
0.3920 0.3920 0.0000
0.6080 0.0000 0.0000
0.0000 0.3854 0.5000
0.3854 0.0000 0.5000
0.6146 0.6146 0.5000
```

Crystal system   hexagonal
D(E_F)   19.4 states/eV/f.u.
Space-group type   P-62m
ΔE_f (raw)   -0.728 eV per atom

=====

17.
The following is a PBE calculation of PmDyPd after structural relaxation, from Alexandria via LeMat-Bulk.

```
PmDyPd
1.0
-1.7974 1.7974 6.1764
1.7974 -1.7974 6.1764
1.7974 1.7974 -6.1764
Pm Dy Pd
1 1 1
direct
0.0000 0.0000 0.0000
0.7243 0.7243 0.0000
0.3490 0.3490 0.0000
```

E above lowest polymorph   66.0 meV/atom
Crystal system   tetragonal
D(E_F)   3.3 states/eV/f.u.
Space-group type   I4mm

=====

18.
The following is a PBE calculation of Mg2PdRh2 after structural relaxation, from Alexandria via LeMat-Bulk.

```
Mg2PdRh2
1.0
7.1365 0.0000 0.0000
0.0000 7.1365 0.0000
0.0000 0.0000 3.1649
Mg Pd Rh
4 2 4
direct
0.1713 0.3287 0.0000
0.3287 0.8287 0.0000
0.6713 0.1713 0.0000
0.8287 0.6713 0.0000
0.0000 0.0000 0.5000
0.5000 0.5000 0.5000
0.1286 0.6286 0.5000
0.3714 0.1286 0.5000
0.6286 0.8714 0.5000
0.8714 0.3714 0.5000
```

E above lowest polymorph   0.0 meV/atom
Crystal system   tetragonal
D(E_F)   4.4 states/eV/f.u.
Space-group type   P4/mbm

=====

19.
The following is a PBE calculation of BaRu2WN after structural relaxation, from Alexandria via LeMat-Bulk.

```
BaRu2WN
1.0
4.4045 0.0000 0.0000
0.0000 4.4045 0.0000
0.0000 0.0000 4.2440
Ba Ru W N
1 2 1 1
direct
0.0000 0.0000 0.0000
0.0000 0.5000 0.5000
0.5000 0.0000 0.5000
0.5000 0.5000 0.0000
0.5000 0.5000 0.5000
```

Crystal system   tetragonal
D(E_F)   6.2 states/eV/f.u.
Space-group type   P4/mmm
ΔE_f (raw)   0.847 eV per atom

=====

20.
The following is a PBE calculation of Ta2Mn after structural relaxation, from Alexandria via LeMat-Bulk.

```
Ta2Mn
1.0
7.2323 0.0000 0.0000
-3.6161 6.2633 0.0000
0.0000 0.0000 3.1959
Ta Mn
6 3
direct
0.0000 0.2587 0.0000
0.0000 0.5845 0.5000
0.2587 0.0000 0.0000
0.4155 0.4155 0.5000
0.5845 0.0000 0.5000
0.7413 0.7413 0.0000
0.0000 0.0000 0.5000
0.3333 0.6667 0.0000
0.6667 0.3333 0.0000
```

Crystal system   hexagonal
D(E_F)   3.7 states/eV/f.u.
Space-group type   P-62m

=====

21.
The following is a PBE calculation of TlReHg2 after structural relaxation, from Alexandria via LeMat-Bulk.

```
TlReHg2
1.0
-1.4301 2.4399 6.9629
1.4301 -2.4399 6.9629
1.4301 2.4399 -6.9629
Tl Re Hg
1 1 2
direct
0.0000 0.0000 0.0000
0.8185 0.3185 0.5000
0.3153 0.8153 0.5000
0.6407 0.6407 0.0000
```

E above lowest polymorph   82.6 meV/atom
Crystal system   orthorhombic
D(E_F)   3.2 states/eV/f.u.
Space-group type   Imm2

=====

| no. | total DFT energy (no corrections) (eV/atom) | volume (Å³ per atom) |
| --- | --- | --- |
| 1 | -4.710 | 33.4 |
| 2 | -3.191 | 19.8 |
| 3 | -3.123 | 19.7 |
| 4 | -3.351 | 40.5 |
| 5 | -8.725 | 12.0 |
| 6 | -4.339 | 32.1 |
| 7 | -9.217 | 13.7 |
| 8 | -1.639 | 31.0 |
| 9 | -5.760 | 15.5 |
| 10 | -6.439 | 12.2 |
| 11 | -9.022 | 17.3 |
| 12 | -2.822 | 42.2 |
| 13 | -1.842 | 32.6 |
| 14 | -4.456 | 34.9 |
| 15 | -6.429 | 19.1 |
| 16 | -4.810 | 31.4 |
| 17 | -5.361 | 26.6 |
| 18 | -4.855 | 16.1 |
| 19 | -7.503 | 16.5 |
| 20 | -10.865 | 16.1 |
| 21 | -3.170 | 24.3 |